Entry 1:
Below is a relaxed structure of KSiIr2, with properties calculated at the PBE level.

Output
Crystal system: trigonal
Fermi-level density of states, states/eV/f.u.: 2.24
DFT total energy, eV/atom: -5.96
V, Å³/atom: 17.42

Cell and atoms, written as extended XYZ:
```
4
Lattice="9.3978 0.0619 0.0364 8.9154 2.9729 0.0364 8.9154 1.4774 2.5800" Properties=species:S:1:pos:R:3 pbc="T T T"
Ir 0.5687 0.0942 0.0554
Ir 13.0455 2.1619 1.2710
K 6.8071 1.1281 0.6632
Si 20.4214 3.3842 1.9896
```



Entry 2:
Below is a relaxed structure of AcPrNdZn, with properties calculated at the PBE level.

Output
Crystal system: tetragonal
Fermi-level density of states, states/eV/f.u.: 5.10
ΔE to the lowest computed polymorph, meV per atom: 0
Energy of formation from the pure elements, eV per atom: -0.1371
V, Å³/atom: 32.37

Cell and atoms, written as extended XYZ:
```
4
Lattice="3.7775 0.0000 0.0000 0.0000 3.7775 0.0000 0.0000 0.0000 9.0735" Properties=species:S:1:pos:R:3 pbc="T T T"
Ac 0.0000 0.0000 0.6637
Pr 1.8888 1.8888 6.9753
Nd 1.8888 1.8888 3.3972
Zn 0.0000 0.0000 5.1573
```



Repeat the second record exactly.
Below is a relaxed structure of AcPrNdZn, with properties calculated at the PBE level.

Output
Crystal system: tetragonal
Fermi-level density of states, states/eV/f.u.: 5.10
ΔE to the lowest computed polymorph, meV per atom: 0
Energy of formation from the pure elements, eV per atom: -0.1371
V, Å³/atom: 32.37

Cell and atoms, written as extended XYZ:
```
4
Lattice="3.7775 0.0000 0.0000 0.0000 3.7775 0.0000 0.0000 0.0000 9.0735" Properties=species:S:1:pos:R:3 pbc="T T T"
Ac 0.0000 0.0000 0.6637
Pr 1.8888 1.8888 6.9753
Nd 1.8888 1.8888 3.3972
Zn 0.0000 0.0000 5.1573
```



Copy entry 2 word for word.
Below is a relaxed structure of AcPrNdZn, with properties calculated at the PBE level.

Output
Crystal system: tetragonal
Fermi-level density of states, states/eV/f.u.: 5.10
ΔE to the lowest computed polymorph, meV per atom: 0
Energy of formation from the pure elements, eV per atom: -0.1371
V, Å³/atom: 32.37

Cell and atoms, written as extended XYZ:
```
4
Lattice="3.7775 0.0000 0.0000 0.0000 3.7775 0.0000 0.0000 0.0000 9.0735" Properties=species:S:1:pos:R:3 pbc="T T T"
Ac 0.0000 0.0000 0.6637
Pr 1.8888 1.8888 6.9753
Nd 1.8888 1.8888 3.3972
Zn 0.0000 0.0000 5.1573
```



> Which formula does entry 1 have?

KSiIr2